PBE Cs3Li2PbCl6, optimized geometry; spin magnetization = 0.622 μB/f.u.; formation energy (no corrections) = -147.5 kJ/mol of atoms
1.0
7.766 0.000 0.000
-3.883 6.726 0.000
0.000 0.000 9.241
Cs Li Pb Cl
3 2 1 6
Direct
0.000 0.000 0.000
0.333 0.667 0.652
0.667 0.333 0.348
0.333 0.667 0.228
0.667 0.333 0.772
0.000 0.000 0.500
0.170 0.339 0.299
0.170 0.830 0.299
0.339 0.170 0.701
0.661 0.830 0.299
0.830 0.170 0.701
0.830 0.661 0.701

---

PBE HoGa6Ir4, optimized geometry; spin magnetization = 0.000 μB/f.u.; formation energy = -0.517 eV/atom
1.0
-3.284 3.284 4.683
3.284 -3.284 4.683
3.284 3.284 -4.683
Ho Ga Ir
1 6 4
Direct
0.000 0.000 0.000
0.000 0.500 0.500
0.124 0.470 0.000
0.470 0.124 0.000
0.500 0.000 0.500
0.530 0.530 0.654
0.876 0.876 0.346
0.237 0.237 0.631
0.394 0.763 0.000
0.606 0.606 0.369
0.763 0.394 0.000

---

PBE Rb3CoAg2Br9, optimized geometry; spin magnetization = 0.556 μB/f.u.; formation energy (no corrections) = -82.4 kJ/mol of atoms
1.0
7.595 0.000 0.000
-3.797 6.577 0.000
0.000 0.000 9.210
Rb Co Ag Br
3 1 2 9
Direct
0.000 0.000 0.000
0.333 0.667 0.675
0.667 0.333 0.325
0.000 0.000 0.500
0.333 0.667 0.175
0.667 0.333 0.825
0.000 0.500 0.000
0.153 0.307 0.346
0.153 0.847 0.346
0.307 0.153 0.654
0.500 0.000 0.000
0.500 0.500 0.000
0.693 0.847 0.346
0.847 0.153 0.654
0.847 0.693 0.654